# AsPdO2

AsPdO2 after structural relaxation (PBE, Alexandria via LeMat-Bulk).

Lattice parameters (Å, degrees): 5.090 5.090 9.395 90.00 90.00 90.00
Space group I-42d (No. 122)
Asymmetric unit:
As  0.000  0.000  0.000 x4
Pd  0.000  0.000  0.500 x4
O  0.187  0.250  0.125 x8

Output
D(E_F) ... 0.85 states/eV per atom
Offset from the most stable computed form ... 241.9 meV per atom
Total energy ... -5.141 eV per atom


# Fe2NiCl

Fe2NiCl after structural relaxation (PBE, Alexandria via LeMat-Bulk).

Lattice parameters (Å, degrees): 3.592 3.592 8.214 90.00 90.00 90.00
Space group I4/mmm (No. 139)
Asymmetric unit:
Fe  0.000  0.500  0.250 x4
Ni  0.000  0.000  0.000 x2
Cl  0.000  0.000  0.500 x2

Output
D(E_F) ... 0.83 states/eV per atom
Offset from the most stable computed form ... 471.7 meV per atom
Total energy ... -5.538 eV per atom


# Cd2InTe

Cd2InTe after structural relaxation (PBE, Alexandria via LeMat-Bulk).

Lattice parameters (Å, degrees): 4.112 5.987 9.114 90.00 90.00 90.00
Space group Immm (No. 71)
Asymmetric unit:
Cd  0.000  0.000  0.248 x4
In  0.000  0.500  0.000 x2
Te  0.000  0.500  0.500 x2

Output
D(E_F) ... 0.45 states/eV per atom
Offset from the most stable computed form ... 71.4 meV per atom
Total energy ... -1.933 eV per atom


Short version: ΔE_f (raw) = -19.4; 58.0; -0.5 kJ per mole of atoms, in the order given.